[1]
This record from the Alexandria database describes crystalline RbSr2GaF8 at its relaxed geometry. The functional is PBE.

Lattice parameters (Å, degrees): 4.745 7.866 5.419 90.00 94.61 90.00
Positions (direct):
Rb: 0.000 0.000 0.000
Sr: 0.500 0.258 0.500
Sr: 0.500 0.742 0.500
Ga: 0.000 0.500 0.000
F: 0.112 0.322 0.779
F: 0.112 0.678 0.779
F: 0.347 0.500 0.216
F: 0.493 0.000 0.737
F: 0.507 0.000 0.263
F: 0.653 0.500 0.784
F: 0.888 0.322 0.221
F: 0.888 0.678 0.221

Properties
The calculation puts the density of states at the Fermi level at 0.00 states/eV per atom. The calculation puts the volume at 202 Å³/f.u. The value obtained for the total energy is -5.122 eV/atom.

***

[2]
This record from the Alexandria database describes crystalline Rb2TaGaF at its relaxed geometry. The functional is PBE.

Lattice parameters (Å, degrees): 6.753 6.753 4.993 90.00 90.00 90.00
Positions (direct):
Rb: 0.000 0.500 0.000
Rb: 0.500 0.000 0.000
Ta: 0.000 0.000 0.000
Ga: 0.000 0.000 0.500
F: 0.500 0.500 0.500

Properties
The calculation puts the density of states at the Fermi level at 0.91 states/eV per atom. The calculation puts the volume at 228 Å³/f.u. The value obtained for the total energy is -3.253 eV/atom.

***

- What is the total energy in the second record?
  -3.253 eV/atom

***

- The lowest total energy belongs to which entry?
  RbSr2GaF8